An optimized crystal structure of KLa2YRe. Source: the Alexandria database, functional GGA-PBE.

calculated total energy = -4.0179 eV per atom

abc: 5.318 5.318 5.072
angles: 90.00 90.00 90.00
Space group P4/mmm (No. 123)
One atom of each set of equivalent atoms:
K 0.000 0.000 0.000 x1
La 0.000 0.500 0.000 x2
Y 0.000 0.000 0.500 x1
Re 0.500 0.500 0.500 x1

---

An optimized crystal structure of KLa2ZnRe. Source: the Alexandria database, functional GGA-PBE.

ΔE to the lowest computed polymorph = 0 meV per atom
calculated total energy = -4.0808 eV per atom

abc: 5.759 5.759 4.815
angles: 90.00 90.00 90.00
Space group P4/mmm (No. 123)
One atom of each set of equivalent atoms:
K 0.000 0.000 0.000 x1
La 0.000 0.500 0.500 x2
Zn 0.500 0.500 0.500 x1
Re 0.500 0.500 0.000 x1

---

An optimized crystal structure of KLa2ZnRe. Source: the Alexandria database, functional GGA-PBE.

ΔE to the lowest computed polymorph = 902 meV per atom
calculated total energy = -3.1785 eV per atom

abc: 5.519 5.519 4.678
angles: 90.00 90.00 90.00
Space group P4/mmm (No. 123)
One atom of each set of equivalent atoms:
K 0.000 0.000 0.000 x1
La 0.000 0.500 0.000 x2
Zn 0.500 0.500 0.500 x1
Re 0.000 0.000 0.500 x1

---

An optimized crystal structure of K2LaRh. Source: the Alexandria database, functional GGA-PBE.

ΔE to the lowest computed polymorph = 689 meV per atom
calculated total energy = -3.0630 eV per atom

abc: 3.659 5.784 6.155
angles: 90.00 90.00 90.00
Space group Pmmm (No. 47)
One atom of each set of equivalent atoms:
K 0.000 0.236 0.000 x2
La 0.500 0.500 0.500 x1
Rh 0.500 0.000 0.500 x1

---

An optimized crystal structure of K2LaRh. Source: the Alexandria database, functional GGA-PBE.

ΔE to the lowest computed polymorph = 863 meV per atom
calculated total energy = -2.8890 eV per atom

abc: 3.4956 3.4956 37.9245
angles: 90.00 90.00 120.00
Space group R-3m (No. 166, hexagonal axes)
One atom of each set of equivalent atoms:
K 0.0000 0.0000 0.2310 x6
La 0.0000 0.0000 0.0000 x3
Rh 0.0000 0.0000 0.5000 x3

---

An optimized crystal structure of K2LaRh. Source: the Alexandria database, functional GGA-PBE.

ΔE to the lowest computed polymorph = 762 meV per atom
calculated total energy = -2.9893 eV per atom

abc: 4.911 4.911 5.741
angles: 90.00 90.00 90.00
Space group P4/mmm (No. 123)
One atom of each set of equivalent atoms:
K 0.000 0.000 0.234 x2
La 0.500 0.500 0.500 x1
Rh 0.500 0.500 0.000 x1

---

Number 1: total moment 0.0 μB per cell, Fermi-level density of states 12.50 states/eV per cell. Number 2: total moment 0.0 μB per cell, Fermi-level density of states 7.99 states/eV per cell. Number 3: total moment 0.0 μB per cell, Fermi-level density of states 5.26 states/eV per cell. Number 4: total moment 1.2 μB per cell, Fermi-level density of states 2.55 states/eV per cell. Number 5: total moment 1.9 μB per cell, Fermi-level density of states 23.32 states/eV per cell. Number 6: total moment 0.0 μB per cell, Fermi-level density of states 5.26 states/eV per cell.